Density functional theory data (PBE) for a geometry-optimized Zr5Br4 structure.

It has space group P6_3/mcm (No. 193), with a = 8.5092 Å, b = 8.5092 Å, c = 6.2138 Å, α = 90.00°, β = 90.00° and γ = 120.00°. The asymmetric unit holds Zr at (0.0000, 0.3112, 0.2500), Zr at (0.3333, 0.6667, 0.0000), Br at (0.0000, 0.0000, 0.0000) and Br at (0.0000, 0.3722, 0.7500).

The total moment is 0.000 μB per atom. For the calculated density, the calculation gives 6.6 g cm⁻³. The uncorrected formation energy is 0.00 eV/f.u.